Compound: HfSiO2F
Source: Alexandria via LeMat-Bulk
Functional: PBE
Structure: optimized geometry

Geometry as extended XYZ:
```
5
Lattice="4.1095 0.0000 0.0000 0.0000 4.1095 0.0000 0.0000 0.0000 4.1900" Properties=species:S:1:pos:R:3 pbc="T T T"
Hf 0.0000 0.0000 0.0000
Si 2.0548 2.0548 2.0950
O 0.0000 2.0548 0.0000
O 2.0548 0.0000 0.0000
F 0.0000 0.0000 2.0950
```

Output
ΔE_f (raw) = -1.9855 eV per atom
Symmetry = P4/mmm, No. 123
Fermi-level density of states = 1.618 states/eV/f.u.

***

Compound: SrHfOF2
Source: Alexandria via LeMat-Bulk
Functional: PBE
Structure: optimized geometry

Geometry as extended XYZ:
```
5
Lattice="4.4217 0.0000 0.0000 0.0000 4.4217 0.0000 0.0000 0.0000 5.0133" Properties=species:S:1:pos:R:3 pbc="T T T"
Sr 0.0000 0.0000 0.0000
Hf 2.2109 2.2109 2.5066
O 0.0000 0.0000 2.5066
F 0.0000 2.2109 0.0000
F 2.2109 0.0000 0.0000
```

Output
ΔE_f (raw) = -1.5189 eV per atom
Symmetry = P4/mmm, No. 123
Excess energy over the best structure of this formula in the dataset = 24.258 kcal/mol of atoms
Fermi-level density of states = 3.539 states/eV/f.u.

***

Compound: SrHfOF2
Source: Alexandria via LeMat-Bulk
Functional: PBE
Structure: optimized geometry

Geometry as extended XYZ:
```
5
Lattice="4.5710 0.0000 0.0000 0.0000 4.5710 0.0000 0.0000 0.0000 4.0848" Properties=species:S:1:pos:R:3 pbc="T T T"
Sr 0.0000 0.0000 0.0000
Hf 2.2855 2.2855 2.0424
O 2.2855 2.2855 0.0000
F 0.0000 2.2855 2.0424
F 2.2855 0.0000 2.0424
```

Output
ΔE_f (raw) = -2.5708 eV per atom
Symmetry = P4/mmm, No. 123
Excess energy over the best structure of this formula in the dataset = 0.000 kcal/mol of atoms
Fermi-level density of states = 2.631 states/eV/f.u.

***

Q: What is the formula in the second record?
A: SrHfOF2

***

Q: The highest ΔE_f (raw) belongs to which entry?
A: number 2

***

Q: Which value of Fermi-level density of states does entry 3 give?
A: 2.631 states/eV/f.u.

***

Q: Look up the ΔE_f (raw) of the second one.
A: -1.5189 eV per atom